1.
Material: Cs4Hg5Bi2
Method: DFT, PBE
State: relaxed

Cell: 8.8920 5.8436 9.8424 Å, 90.00 91.35 90.00°
Atoms (fractional coordinates):
Cs1 0.2345 0.0000 0.3722
Cs2 0.2428 0.0000 0.9015
Cs3 0.7572 0.0000 0.0985
Cs4 0.7655 0.0000 0.6278
Hg1 0.1734 0.5000 0.6290
Hg2 0.4350 0.5000 0.1495
Hg3 0.5000 0.5000 0.5000
Hg4 0.5650 0.5000 0.8505
Hg5 0.8266 0.5000 0.3710
Bi1 0.0676 0.5000 0.1432
Bi2 0.9324 0.5000 0.8568

ΔE_f	-0.26	eV per atom
total moment	0.0	μB per cell
symmetry	No. 10

2.
Material: SmGdLu2
Method: DFT, PBE
State: relaxed

Cell: 5.6251 5.6251 5.6251 Å, 60.00 60.00 60.00°
Atoms (fractional coordinates):
Sm1 0.0000 0.0000 0.0000
Gd1 0.5000 0.5000 0.5000
Lu1 0.2500 0.2500 0.2500
Lu2 0.7500 0.7500 0.7500

polymorph energy (0 for the lowest one)	5.1	kJ per mole of atoms
ΔE_f	0.09	eV per atom
total moment	7.3	μB per cell
symmetry	No. 225